(1)
Below is an optimized crystal structure of NaInS2, with properties calculated at the PBE-GGA level.

abc: 3.7484 19.4102 5.3540
angles: 90.00 90.00 90.00
Closest atoms and distances in Å follow each position.
Fractional coordinates of all 16 atoms:
Na: 0.0000 0.0610 0.2500  4 S 2.70-2.84
Na: 0.0000 0.9390 0.7500  4 S 2.70-2.84
Na: 0.5000 0.4390 0.7500  4 S 2.70-2.84
Na: 0.5000 0.5610 0.2500  4 S 2.70-2.84
In: 0.0000 0.3231 0.2500  3 S 2.39-2.58
In: 0.0000 0.6769 0.7500  3 S 2.39-2.58
In: 0.5000 0.1769 0.7500  3 S 2.39-2.58
In: 0.5000 0.8231 0.2500  3 S 2.39-2.58
S: 0.0000 0.0855 0.7500  2 In 2.58, 3 Na 2.72-2.84
S: 0.0000 0.2001 0.2500  1 In 2.39
S: 0.0000 0.7999 0.7500  1 In 2.39
S: 0.0000 0.9145 0.2500  2 In 2.58, 3 Na 2.72-2.84
S: 0.5000 0.2999 0.7500  1 In 2.39
S: 0.5000 0.4145 0.2500  2 In 2.58, 3 Na 2.72-2.84
S: 0.5000 0.5855 0.7500  2 In 2.58, 3 Na 2.72-2.84
S: 0.5000 0.7001 0.2500  1 In 2.39

Computed properties:
As for the raw formation energy: -0.550 eV/atom. For the spin magnetization, the calculation gives 0.00 μB/f.u.

(2)
Below is an optimized crystal structure of TlBiSb3, with properties calculated at the PBE-GGA level.

abc: 5.9205 5.9205 5.9205
angles: 90.00 90.00 90.00
Closest atoms and distances in Å follow each position.
Fractional coordinates of all 5 atoms:
Tl: 0.0000 0.0000 0.0000  12 Sb 4.19
Bi: 0.5000 0.5000 0.5000  6 Sb 2.96
Sb: 0.0000 0.5000 0.5000  2 Bi 2.96
Sb: 0.5000 0.0000 0.5000  2 Bi 2.96
Sb: 0.5000 0.5000 0.0000  2 Bi 2.96

Computed properties:
As for the raw formation energy: 0.714 eV/atom. As for the relative energy among the computed polymorphs: 0 meV per atom. For the spin magnetization, the calculation gives 0.00 μB/f.u.

(3)
Below is an optimized crystal structure of Mn4CdCo, with properties calculated at the PBE-GGA level.

abc: 4.7748 4.7748 4.7748
angles: 60.00 60.00 60.00
Closest atoms and distances in Å follow each position.
Fractional coordinates of all 6 atoms:
Mn: 0.1249 0.1249 0.1249  6 Mn 2.38-2.39
Mn: 0.1249 0.1249 0.6254  6 Mn 2.38-2.39
Mn: 0.1249 0.6254 0.1249  6 Mn 2.38-2.39
Mn: 0.6254 0.1249 0.1249  6 Mn 2.38-2.39
Cd: 0.7500 0.7500 0.7500  12 Mn 2.80, 4 Co 2.92
Co: 0.5000 0.5000 0.5000  12 Mn 2.80, 4 Cd 2.92

Computed properties:
The calculation puts the energy of formation at 397 meV/atom. For the spin magnetization, the calculation gives 6.89 μB/f.u.

(4)
Below is an optimized crystal structure of AgBPt3, with properties calculated at the PBE-GGA level.

abc: 4.0197 4.0197 6.5009
angles: 90.00 90.00 90.00
Closest atoms and distances in Å follow each position.
Fractional coordinates of all 5 atoms:
Ag: 0.0000 0.0000 0.0000  5 Pt 2.63-2.88
B: 0.5000 0.5000 0.2313  4 Pt 2.08
Pt: 0.0000 0.0000 0.5950  1 Ag 2.63, 4 Pt 2.71
Pt: 0.0000 0.5000 0.3165  2 B 2.08
Pt: 0.5000 0.0000 0.3165  2 B 2.08

Computed properties:
As for the relative energy among the computed polymorphs: 692 meV per atom. The calculation puts the energy of formation at 468 meV/atom. For the spin magnetization, the calculation gives 0.00 μB/f.u.

(5)
Below is an optimized crystal structure of TbSm2Th, with properties calculated at the PBE-GGA level.

abc: 5.0813 5.0813 10.2213
angles: 90.00 90.00 90.00
Closest atoms and distances in Å follow each position.
Fractional coordinates of all 8 atoms:
Tb: 0.0000 0.0000 0.0000  4 Th 3.59, 8 Sm 3.60
Tb: 0.5000 0.5000 0.5000  4 Th 3.59, 8 Sm 3.60
Sm: 0.0000 0.5000 0.2500  4 Sm 3.59, 4 Tb 3.60, 4 Th 3.60
Sm: 0.0000 0.5000 0.7500  4 Sm 3.59, 4 Tb 3.60, 4 Th 3.60
Sm: 0.5000 0.0000 0.2500  4 Sm 3.59, 4 Tb 3.60, 4 Th 3.60
Sm: 0.5000 0.0000 0.7500  4 Sm 3.59, 4 Tb 3.60, 4 Th 3.60
Th: 0.0000 0.0000 0.5000  4 Tb 3.59, 8 Sm 3.60
Th: 0.5000 0.5000 0.0000  4 Tb 3.59, 8 Sm 3.60

Computed properties:
As for the relative energy among the computed polymorphs: 40 meV per atom. The calculation puts the energy of formation at 60 meV/atom. For the spin magnetization, the calculation gives 0.00 μB/f.u.

(6)
Below is an optimized crystal structure of LiZrScS4, with properties calculated at the PBE-GGA level.

abc: 7.5402 7.5402 7.5402
angles: 119.97 119.93 90.08
Closest atoms and distances in Å follow each position.
Fractional coordinates of all 14 atoms:
Li: 0.3688 0.1188 0.2500  4 S 2.42-2.47
Li: 0.6312 0.8812 0.7500  4 S 2.42-2.47
Zr: 0.0000 0.0000 0.5000  6 S 2.57-2.59
Zr: 0.0000 0.5000 0.0000  6 S 2.57-2.59
Sc: 0.0000 0.5000 0.5000  6 S 2.59-2.61
Sc: 0.5000 0.5000 0.0000  6 S 2.59-2.61
S: 0.2307 0.7449 0.4858  1 Li 2.47, 2 Zr 2.59, 1 Sc 2.61
S: 0.2409 0.2551 0.9858  1 Li 2.47, 2 Zr 2.59, 1 Sc 2.61
S: 0.2408 0.2565 0.5158  1 Li 2.42, 1 Zr 2.57, 2 Sc 2.59
S: 0.2408 0.7250 0.9842  1 Li 2.42, 1 Zr 2.57, 2 Sc 2.59
S: 0.7592 0.2750 0.0158  1 Li 2.42, 1 Zr 2.57, 2 Sc 2.59
S: 0.7592 0.7435 0.4842  1 Li 2.42, 1 Zr 2.57, 2 Sc 2.59
S: 0.7591 0.7449 0.0142  1 Li 2.47, 2 Zr 2.59, 1 Sc 2.61
S: 0.7693 0.2551 0.5142  1 Li 2.47, 2 Zr 2.59, 1 Sc 2.61

Computed properties:
As for the raw formation energy: -1.665 eV/atom. For the spin magnetization, the calculation gives 0.00 μB/f.u.

(7)
Below is an optimized crystal structure of NbSi2PRh, with properties calculated at the PBE-GGA level.

abc: 4.3780 4.3780 5.2162
angles: 90.00 90.00 90.00
Closest atoms and distances in Å follow each position.
Fractional coordinates of all 5 atoms:
Nb: 0.0000 0.0000 0.0000  2 Rh 2.61
Si: 0.0000 0.5000 0.5000  2 Rh 2.19
Si: 0.5000 0.0000 0.5000  2 Rh 2.19
P: 0.5000 0.5000 0.0000  4 Nb 3.10, 8 Si 3.40
Rh: 0.0000 0.0000 0.5000  4 Si 2.19

Computed properties:
As for the raw formation energy: 0.597 eV/atom. For the spin magnetization, the calculation gives 1.12 μB/f.u.

(8)
Below is an optimized crystal structure of TbPuCu, with properties calculated at the PBE-GGA level.

abc: 3.4604 3.4604 12.1379
angles: 90.00 90.00 90.00
Closest atoms and distances in Å follow each position.
Fractional coordinates of all 6 atoms:
Tb: 0.0000 0.0000 0.0000  4 Cu 2.94
Tb: 0.5000 0.5000 0.5000  4 Cu 2.94
Pu: 0.0000 0.0000 0.7162  4 Cu 3.04
Pu: 0.5000 0.5000 0.2162  4 Cu 3.04
Cu: 0.0000 0.0000 0.3654  4 Tb 2.94, 4 Pu 3.04
Cu: 0.5000 0.5000 0.8654  4 Tb 2.94, 4 Pu 3.04

Computed properties:
As for the relative energy among the computed polymorphs: 0 meV per atom. The calculation puts the energy of formation at 43 meV/atom. For the spin magnetization, the calculation gives 6.22 μB/f.u.

(9)
Below is an optimized crystal structure of Rb4TbPa3S12, with properties calculated at the PBE-GGA level.

abc: 9.1880 9.1880 9.1880
angles: 109.47 109.47 109.47
Closest atoms and distances in Å follow each position.
Fractional coordinates of all 20 atoms:
Rb: 0.0000 0.0000 0.5000  12 S 3.75
Rb: 0.0000 0.5000 0.0000  12 S 3.75
Rb: 0.5000 0.0000 0.0000  12 S 3.75
Rb: 0.5000 0.5000 0.5000  12 S 3.75
Tb: 0.0000 0.0000 0.0000  6 S 2.73
Pa: 0.0000 0.5000 0.5000  6 S 2.58-2.65
Pa: 0.5000 0.0000 0.5000  6 S 2.58-2.65
Pa: 0.5000 0.5000 0.0000  6 S 2.58-2.65
S: 0.0000 0.2569 0.2569  1 Pa 2.58, 1 Tb 2.73
S: 0.0000 0.7431 0.7431  1 Pa 2.58, 1 Tb 2.73
S: 0.2500 0.5000 0.7500  2 Pa 2.65
S: 0.2500 0.7500 0.5000  2 Pa 2.65
S: 0.2569 0.0000 0.2569  1 Pa 2.58, 1 Tb 2.73
S: 0.2569 0.2569 0.0000  1 Pa 2.58, 1 Tb 2.73
S: 0.5000 0.2500 0.7500  2 Pa 2.65
S: 0.5000 0.7500 0.2500  2 Pa 2.65
S: 0.7431 0.0000 0.7431  1 Pa 2.58, 1 Tb 2.73
S: 0.7431 0.7431 0.0000  1 Pa 2.58, 1 Tb 2.73
S: 0.7500 0.2500 0.5000  2 Pa 2.65
S: 0.7500 0.5000 0.2500  2 Pa 2.65

Computed properties:
As for the raw formation energy: -1.477 eV/atom. For the spin magnetization, the calculation gives 0.00 μB/f.u.

(10)
Below is an optimized crystal structure of KSnAu2, with properties calculated at the PBE-GGA level.

abc: 5.5254 5.5254 18.3488
angles: 90.00 90.00 90.00
Closest atoms and distances in Å follow each position.
Fractional coordinates of all 16 atoms:
K: 0.0000 0.2500 0.3750  8 Au 3.85, 4 Sn 3.91
K: 0.0000 0.7500 0.6250  8 Au 3.85, 4 Sn 3.91
K: 0.5000 0.2500 0.1250  8 Au 3.85, 4 Sn 3.91
K: 0.5000 0.7500 0.8750  8 Au 3.85, 4 Sn 3.91
Sn: 0.0000 0.2500 0.8750  4 Au 2.68
Sn: 0.0000 0.7500 0.1250  4 Au 2.68
Sn: 0.5000 0.2500 0.6250  4 Au 2.68
Sn: 0.5000 0.7500 0.3750  4 Au 2.68
Au: 0.0000 0.0000 0.0000  2 Sn 2.68, 2 Au 2.76
Au: 0.0000 0.5000 0.0000  2 Sn 2.68, 2 Au 2.76
Au: 0.2500 0.2500 0.7500  2 Sn 2.68, 2 Au 2.76
Au: 0.2500 0.7500 0.2500  2 Sn 2.68, 2 Au 2.76
Au: 0.5000 0.0000 0.5000  2 Sn 2.68, 2 Au 2.76
Au: 0.5000 0.5000 0.5000  2 Sn 2.68, 2 Au 2.76
Au: 0.7500 0.2500 0.7500  2 Sn 2.68, 2 Au 2.76
Au: 0.7500 0.7500 0.2500  2 Sn 2.68, 2 Au 2.76

Computed properties:
The calculation puts the energy of formation at -171 meV/atom. For the spin magnetization, the calculation gives 0.00 μB/f.u.